An optimized crystal structure of LiMgTeS4. Source: Alexandria via LeMat-Bulk, functional PBE.

Cell lengths 7.5216, 7.6409, 10.6244 Å; angles 90.00, 90.00, 90.00 degrees
Space group Imma (No. 74)
One atom of each set of equivalent atoms:
Li (0.0000, 0.2500, 0.1516)
Mg (0.2500, 0.2500, 0.7500)
Te (0.0000, 0.0000, 0.5000)
S (0.0000, 0.0205, 0.7400)
S (0.2445, 0.2500, 0.5044)

Results
formation energy without anion corrections: -0.58 eV/atom
total DFT energy (no corrections): -108.9 eV/cell
crystal system: orthorhombic
size of the total moment: 0.00 μB/cell